Zn2FeIrO6 | GGA+U | optimized geometry

Properties
As for the energy: -5.768 eV/atom.

Cell lengths 5.2293, 5.2284, 9.3037 Å; angles 90.00, 124.17, 90.00 degrees
Last column: nearest neighbours and their distance in Å.
Space group P2_1/c (No. 14)
Unique sites:
Zn 0.2443 0.0323 0.2532 (multiplicity 4)  4 O 2.03-2.08
Fe 0.5000 0.0000 0.0000 (multiplicity 2)  6 O 1.99-2.11
Ir 0.0000 0.0000 0.5000 (multiplicity 2)  6 O 1.97-2.03
O 0.1266 0.0849 0.7441 (multiplicity 4)  1 Ir 2.03, 2 Zn 2.05-2.08, 1 Fe 2.11
O 0.2375 0.6792 0.5686 (multiplicity 4)  1 Ir 1.97, 1 Zn 2.03, 1 Fe 2.04
O 0.3851 0.1740 0.5614 (multiplicity 4)  1 Ir 1.98, 1 Fe 1.99, 1 Zn 2.03